First-principles (PBE) data for a geometry-optimized BaScCuF2 structure, as listed in Alexandria.

Geometry as extended XYZ:
```
5
Lattice="4.786 0.000 0.000 0.000 6.613 0.000 0.000 0.000 4.786" Properties=species:S:1:pos:R:3 pbc="T T T"
Sc 2.393 3.307 2.393
Ba 0.000 0.000 0.000
Cu 0.000 3.307 0.000
F 0.000 0.000 2.393
F 2.393 0.000 0.000
```

Summary:
Calculated density in Mg/m³: 3.1
Size of the total moment in μB/atom: 0.152
Space-group type: P4/mmm
Raw total energy in eV/cell: -22.465
Energy relative to the elements, uncorrected in eV per atom: -1.27